Record 1
## AgCN (PBE)

Data for crystalline AgCN at its relaxed geometry.

Output
Volume (Å³ per cell): 54
Calculated total energy (eV per atom): -6.302

Cell lengths 3.875, 3.875, 3.875 Å; angles 101.08, 101.08, 101.08 degrees
Fractional positions:
Ag1 0.978 0.978 0.978
N1 0.372 0.372 0.372
C1 0.595 0.595 0.595

=====

Record 2
## YFeSiMo (PBE)

Data for crystalline YFeSiMo at its relaxed geometry.

Output
Energy relative to the lowest polymorph listed for this composition (meV/atom): 188
Volume (Å³ per cell): 67
Calculated total energy (eV per atom): -7.357

Cell lengths 4.550, 4.550, 4.550 Å; angles 60.00, 60.00, 60.00 degrees
Fractional positions:
Y1 0.250 0.250 0.250
Fe1 0.750 0.750 0.750
Mo1 0.500 0.500 0.500
Si1 0.000 0.000 0.000

=====

Record 3
## AlZn (PBE)

Data for crystalline AlZn at its relaxed geometry.

Output
Volume (Å³ per cell): 191
Calculated total energy (eV per atom): -2.438

Cell lengths 4.815, 8.490, 4.665 Å; angles 90.00, 90.00, 90.00 degrees
Fractional positions:
Zn1 0.833 0.831 0.500
Zn2 0.498 0.501 0.000
Zn3 0.333 0.336 0.500
Zn4 0.002 0.336 0.000
Zn5 0.998 0.666 0.000
Zn6 0.502 0.831 0.000
Al1 0.330 0.668 0.500
Al2 0.830 0.499 0.500
Al3 0.999 0.996 0.000
Al4 0.499 0.170 0.000
Al5 0.839 0.167 0.500
Al6 0.339 0.000 0.500